Computed, not measured: Tb2NdSm3P6 after structural relaxation at the PBE-GGA level of DFT.

abc: 7.0866 7.0866 7.0879
angles: 99.59 99.59 119.99
Last column: nearest neighbours and their distance in Å.
Sites, in units of the cell vectors:
Tb1 0.3331 0.6669 0.0000  6 P 2.87
Tb2 0.6669 0.3331 0.0000  6 P 2.87
Nd1 0.0000 0.0000 0.0000  6 P 2.91
Sm1 0.1659 0.8341 0.5000  6 P 2.88-2.91
Sm2 0.8341 0.1659 0.5000  6 P 2.88-2.91
Sm3 0.5000 0.5000 0.5000  6 P 2.88-2.91
P1 0.9173 0.5795 0.7518  2 Tb 2.87, 3 Sm 2.88-2.91, 1 Nd 2.91
P2 0.7448 0.7448 0.2476  2 Tb 2.87, 3 Sm 2.88-2.91, 1 Nd 2.91
P3 0.0827 0.4205 0.2482  2 Tb 2.87, 3 Sm 2.88-2.91, 1 Nd 2.91
P4 0.5795 0.9173 0.7518  2 Tb 2.87, 3 Sm 2.88-2.91, 1 Nd 2.91
P5 0.2552 0.2552 0.7524  2 Tb 2.87, 3 Sm 2.88-2.91, 1 Nd 2.91
P6 0.4205 0.0827 0.2482  2 Tb 2.87, 3 Sm 2.88-2.91, 1 Nd 2.91

The value obtained for the formation enthalpy at 0 K is -1.575 eV/atom. As for the density: 6.28 Mg/m³. The calculation puts the total DFT energy (no corrections) at -0.2436 Ha/atom.

---

Computed, not measured: KVSb2Te after structural relaxation at the PBE-GGA level of DFT.

abc: 5.2212 5.2212 5.4823
angles: 90.00 90.00 90.00
Last column: nearest neighbours and their distance in Å.
Sites, in units of the cell vectors:
Sb1 0.0000 0.5000 0.0000  2 V 2.61
Sb2 0.5000 0.0000 0.0000  2 V 2.61
K1 0.5000 0.5000 0.5000  4 Te 3.69, 8 Sb 3.79
Te1 0.0000 0.0000 0.5000  2 V 2.74
V1 0.0000 0.0000 0.0000  4 Sb 2.61, 2 Te 2.74

As for the density: 5.12 Mg/m³. The calculation puts the total DFT energy (no corrections) at -0.1609 Ha/atom. The calculation puts the formation energy from raw total energies at -58 meV/atom.

---

Computed, not measured: Cu2Re3S6 after structural relaxation at the PBE-GGA level of DFT.

abc: 9.3484 9.3484 11.6596
angles: 89.45 89.45 62.34
Last column: nearest neighbours and their distance in Å.
Sites, in units of the cell vectors:
Cu1 0.5636 0.4364 0.2500  2 S 2.18
Cu2 0.4364 0.5636 0.7500  2 S 2.18
Cu3 0.9804 0.0196 0.2500  2 S 2.22
Cu4 0.0196 0.9804 0.7500  2 S 2.22
Cu5 0.8024 0.3101 0.0940  3 S 2.22-2.37
Cu6 0.6899 0.1976 0.4060  3 S 2.22-2.37
Cu7 0.1976 0.6899 0.9060  3 S 2.22-2.37
Cu8 0.3101 0.8024 0.5940  3 S 2.22-2.37
Re1 0.9754 0.7033 0.4676  5 S 2.41-2.44, 4 Re 2.60-2.64
Re2 0.2967 0.0246 0.0324  5 S 2.41-2.44, 4 Re 2.60-2.64
Re3 0.0246 0.2967 0.5324  5 S 2.41-2.44, 4 Re 2.60-2.64
Re4 0.7033 0.9754 0.9676  5 S 2.41-2.44, 4 Re 2.60-2.64
Re5 0.8822 0.5126 0.3690  5 S 2.40-2.51, 4 Re 2.60-2.65
Re6 0.4874 0.1178 0.1310  5 S 2.40-2.51, 4 Re 2.60-2.65
Re7 0.1178 0.4874 0.6310  5 S 2.40-2.51, 4 Re 2.60-2.65
Re8 0.5126 0.8822 0.8690  5 S 2.40-2.51, 4 Re 2.60-2.65
Re9 0.1924 0.4073 0.4140  5 S 2.40-2.54, 4 Re 2.62-2.65
Re10 0.5927 0.8076 0.0860  5 S 2.40-2.54, 4 Re 2.62-2.65
Re11 0.8076 0.5927 0.5860  5 S 2.40-2.54, 4 Re 2.62-2.65
Re12 0.4073 0.1924 0.9140  5 S 2.40-2.54, 4 Re 2.62-2.65
S1 0.9802 0.9260 0.9302  2 Cu 2.22, 1 S 2.29, 1 Re 2.44
S2 0.0740 0.0198 0.5698  2 Cu 2.22, 1 S 2.29, 1 Re 2.44
S3 0.0198 0.0740 0.0698  2 Cu 2.22, 1 S 2.29, 1 Re 2.44
S4 0.9260 0.9802 0.4302  2 Cu 2.22, 1 S 2.29, 1 Re 2.44
S5 0.9152 0.7587 0.6688  3 Re 2.40-2.42
S6 0.2413 0.0848 0.8312  3 Re 2.40-2.42
S7 0.0848 0.2413 0.3312  3 Re 2.40-2.42
S8 0.7587 0.9152 0.1688  3 Re 2.40-2.42
S9 0.2177 0.3045 0.0703  3 Re 2.41
S10 0.6955 0.7823 0.4297  3 Re 2.41
S11 0.7823 0.6955 0.9297  3 Re 2.41
S12 0.3045 0.2177 0.5703  3 Re 2.41
S13 0.9504 0.3890 0.7277  3 Re 2.40-2.42
S14 0.6110 0.0496 0.7723  3 Re 2.40-2.42
S15 0.0496 0.6110 0.2723  3 Re 2.40-2.42
S16 0.3890 0.9504 0.2277  3 Re 2.40-2.42
S17 0.7410 0.4002 0.4879  1 Cu 2.37, 3 Re 2.42-2.46
S18 0.5998 0.2590 0.0121  1 Cu 2.37, 3 Re 2.42-2.46
S19 0.2590 0.5998 0.5121  1 Cu 2.37, 3 Re 2.42-2.46
S20 0.4002 0.7410 0.9879  1 Cu 2.37, 3 Re 2.42-2.46
S21 0.7186 0.5398 0.1928  2 Cu 2.18-2.24
S22 0.4602 0.2814 0.3072  2 Cu 2.18-2.24
S23 0.2814 0.4602 0.8072  2 Cu 2.18-2.24
S24 0.5398 0.7186 0.6928  2 Cu 2.18-2.24

As for the density: 6.46 Mg/m³. The calculation puts the total DFT energy (no corrections) at -0.2494 Ha/atom. The calculation puts the formation energy from raw total energies at -395 meV/atom.

---

Computed, not measured: TbNdCoHg after structural relaxation at the PBE-GGA level of DFT.

abc: 5.1300 5.1300 5.1300
angles: 60.00 60.00 60.00
Last column: nearest neighbours and their distance in Å.
Sites, in units of the cell vectors:
Nd1 0.5000 0.5000 0.5000  4 Hg 3.14, 4 Co 3.14
Tb1 0.0000 0.0000 0.0000  4 Co 3.14, 4 Hg 3.14
Hg1 0.7500 0.7500 0.7500  4 Nd 3.14, 4 Tb 3.14
Co1 0.2500 0.2500 0.2500  4 Tb 3.14, 4 Nd 3.14

The value obtained for the formation enthalpy at 0 K is -0.164 eV/atom. As for the density: 9.79 Mg/m³. The calculation puts the total DFT energy (no corrections) at -0.1604 Ha/atom.

---

Computed, not measured: AcLa3Ni after structural relaxation at the PBE-GGA level of DFT.

abc: 5.6486 5.6486 5.6486
angles: 90.00 90.00 90.00
Last column: nearest neighbours and their distance in Å.
Sites, in units of the cell vectors:
Ni1 0.0000 0.0000 0.0000  6 La 2.82
Ac1 0.5000 0.5000 0.5000  12 La 3.99
La1 0.0000 0.5000 0.0000  2 Ni 2.82
La2 0.0000 0.0000 0.5000  2 Ni 2.82
La3 0.5000 0.0000 0.0000  2 Ni 2.82

The value obtained for the formation enthalpy at 0 K is -0.044 eV/atom. As for the density: 6.47 Mg/m³. The calculation puts the total DFT energy (no corrections) at -0.1829 Ha/atom.

---

Computed, not measured: AsHF3 after structural relaxation at the PBE-GGA level of DFT.

abc: 3.5743 3.5743 3.5743
angles: 90.00 90.00 90.00
Last column: nearest neighbours and their distance in Å.
Sites, in units of the cell vectors:
H1 0.0000 0.0000 0.0000  6 F 1.79
As1 0.5000 0.5000 0.5000  12 F 2.53
F1 0.0000 0.5000 0.0000  2 H 1.79
F2 0.0000 0.0000 0.5000  2 H 1.79
F3 0.5000 0.0000 0.0000  2 H 1.79

As for the density: 4.83 Mg/m³. The calculation puts the total DFT energy (no corrections) at -0.1243 Ha/atom.

---

Repeat the second record exactly.
Computed, not measured: KVSb2Te after structural relaxation at the PBE-GGA level of DFT.

abc: 5.2212 5.2212 5.4823
angles: 90.00 90.00 90.00
Last column: nearest neighbours and their distance in Å.
Sites, in units of the cell vectors:
Sb1 0.0000 0.5000 0.0000  2 V 2.61
Sb2 0.5000 0.0000 0.0000  2 V 2.61
K1 0.5000 0.5000 0.5000  4 Te 3.69, 8 Sb 3.79
Te1 0.0000 0.0000 0.5000  2 V 2.74
V1 0.0000 0.0000 0.0000  4 Sb 2.61, 2 Te 2.74

As for the density: 5.12 Mg/m³. The calculation puts the total DFT energy (no corrections) at -0.1609 Ha/atom. The calculation puts the formation energy from raw total energies at -58 meV/atom.